DFT (GGA-PBE) results for a geometry-optimized La2CoRu structure.

Properties
- Total magnetization: 0.00 μB per atom
- E_form: 170 meV/atom

Unit cell a=7.406 b=7.406 c=6.137 alpha=52.89 beta=52.89 gamma=90.00
Element x y z (fractional)
Co 0.250 0.750 0.500
Co 0.500 0.500 0.000
La 0.375 0.382 0.750
La 0.132 0.625 0.250
La 0.875 0.868 0.750
La 0.618 0.125 0.250
Ru 0.750 0.250 0.500
Ru 0.000 0.000 0.000



DFT (GGA-PBE) results for a geometry-optimized LaCoRu2 structure.

Properties
- Energy above the lowest structure with this stoichiometry: 0 meV/atom
- Total magnetization: 0.41 μB per atom
- E_form: 41 meV/atom

Unit cell a=4.305 b=4.305 c=5.634 alpha=67.54 beta=67.54 gamma=59.99
Each line ends with the local moment (μB).
Element x y z (fractional)
Ru 0.061 0.061 0.818  0.12
Ru 0.752 0.752 0.743  0.31
Co 0.438 0.438 0.686  1.32
La 0.249 0.249 0.254  -0.06